Record 1
Ba2Li3Ag12Pt (PBE, optimized geometry); N(E_F) = 4.9 states/eV per cell; total energy = -50.132 eV for the cell shown; magnetic moment = 0.0 μB per formula unit; SG = No. 166; ΔE_f = -0.016 eV/atom
1.0
-7.7853 5.7507 4.6049
-6.9128 -0.0743 8.1911
-2.5307 5.1829 9.0344
Ag Ba Li Pt
12 2 3 1
direct
0.3536 0.9326 0.9326 Ag
0.4084 0.4084 0.8130 Ag
0.8130 0.4084 0.4084 Ag
0.0674 0.6464 0.0674 Ag
0.9326 0.9326 0.3536 Ag
0.9326 0.3536 0.9326 Ag
0.4084 0.8130 0.4084 Ag
0.1870 0.5916 0.5916 Ag
0.6464 0.0674 0.0674 Ag
0.5916 0.5916 0.1870 Ag
0.0674 0.0674 0.6464 Ag
0.5916 0.1870 0.5916 Ag
0.3516 0.3516 0.3516 Ba
0.6484 0.6484 0.6484 Ba
0.5000 0.0000 0.0000 Li
0.0000 0.5000 0.0000 Li
0.0000 0.0000 0.5000 Li
0.0000 0.0000 0.0000 Pt

Record 2
Ac3Ni2Hg (PBE, optimized geometry); N(E_F) = 12.0 states/eV per cell; total energy = -50.406 eV for the cell shown; magnetic moment = 0.0 μB per formula unit; SG = No. 63; ΔE_f = -0.169 eV/atom
1.0
-4.3573 -2.4494 2.1756
5.9331 -1.8796 2.9367
-0.9334 7.7292 6.8328
Ac Ni Hg
6 4 2
direct
0.9358 0.8715 0.2500 Ac
0.6358 0.2716 0.4471 Ac
0.3642 0.7284 0.5529 Ac
0.0642 0.1285 0.7500 Ac
0.3642 0.7284 0.9471 Ac
0.6358 0.2716 0.0529 Ac
0.0000 0.0000 0.5000 Ni
0.5457 0.0915 0.7500 Ni
0.0000 0.0000 0.0000 Ni
0.4543 0.9085 0.2500 Ni
0.2326 0.4651 0.2500 Hg
0.7674 0.5349 0.7500 Hg

Record 3
Cd2MoW (PBE, optimized geometry); N(E_F) = 2.1 states/eV per cell; total energy = -23.344 eV for the cell shown; magnetic moment = 0.0 μB per formula unit; SG = No. 10; ΔE_f = 0.568 eV/atom
1.0
4.7692 0.0000 0.0000
0.0000 2.7637 0.0197
0.0000 1.5451 5.4185
Cd W Mo
2 1 1
direct
0.0000 0.0002 0.0004 Cd
0.0000 0.4998 0.4996 Cd
0.5000 0.7500 0.7500 W
0.5000 0.2500 0.2500 Mo

Record 4
Ac6Si3Pb (PBE, optimized geometry); N(E_F) = 17.0 states/eV per cell; total energy = -97.632 eV for the cell shown; magnetic moment = 0.9 μB per formula unit; formation energy without anion corrections = -0.42 eV/atom; SG = No. 11
1.0
-1.2463 4.4874 -0.0575
-7.1991 -2.1322 -10.3670
-7.5224 -1.9510 10.7969
Si Ac Pb
6 12 2
direct
0.2500 0.3113 0.5004 Si
0.7500 0.1580 0.0834 Si
0.2500 0.8420 0.9166 Si
0.7500 0.4591 0.8324 Si
0.7500 0.6887 0.4996 Si
0.2500 0.5409 0.1676 Si
0.2500 0.2070 0.2451 Ac
0.7500 0.9203 0.0908 Ac
0.7500 0.1254 0.4599 Ac
0.2500 0.0797 0.9092 Ac
0.2500 0.6125 0.9517 Ac
0.2500 0.5258 0.3935 Ac
0.2500 0.2807 0.7309 Ac
0.7500 0.4742 0.6065 Ac
0.7500 0.7193 0.2691 Ac
0.7500 0.3875 0.0483 Ac
0.2500 0.8746 0.5401 Ac
0.7500 0.7930 0.7549 Ac
0.2500 0.9419 0.3002 Pb
0.7500 0.0581 0.6998 Pb

Record 5
BaSbPdO6 (PBE, optimized geometry); N(E_F) = 6.4 states/eV per cell; total energy = -53.053 eV for the cell shown; magnetic moment = 1.0 μB per formula unit; formation energy without anion corrections = -1.34 eV/atom; SG = No. 149
1.0
-4.4549 -2.9021 0.5005
-0.0004 -4.3884 3.0431
-1.5815 3.2308 4.6587
O Ba Sb Pd
6 1 1 1
direct
0.3807 0.6203 0.3074 O
0.9990 0.3807 0.3074 O
0.6203 0.9990 0.3074 O
0.9990 0.6203 0.6925 O
0.6203 0.3807 0.6925 O
0.3806 0.9991 0.6925 O
0.0000 0.0000 0.0000 Ba
0.3333 0.3333 0.5000 Sb
0.6666 0.6667 0.5000 Pd

Record 6
In5Sn12Ge3 (PBE, optimized geometry); N(E_F) = 50.3 states/eV per cell; total energy = -283.844 eV for the cell shown; magnetic moment = 0.0 μB per formula unit; SG = No. 230; ΔE_f = 0.231 eV/atom
1.0
14.9695 0.0000 0.0000
-4.9898 14.1134 0.0000
-4.9898 -7.0567 12.2226
Sn Ge In
48 12 20
direct
0.7636 0.3374 0.9036 Sn
0.4036 0.2636 0.3374 Sn
0.2636 0.8600 0.9262 Sn
0.7364 0.1400 0.0738 Sn
0.1626 0.0662 0.9262 Sn
0.9262 0.5662 0.1626 Sn
0.2364 0.6626 0.0964 Sn
0.6626 0.2364 0.5964 Sn
0.5738 0.3374 0.9338 Sn
0.5738 0.2364 0.1400 Sn
0.9338 0.8374 0.5738 Sn
0.4338 0.0738 0.3374 Sn
0.5964 0.8600 0.4338 Sn
0.4338 0.3600 0.5964 Sn
0.7636 0.4262 0.3600 Sn
0.1626 0.0964 0.7364 Sn
0.7364 0.5964 0.1626 Sn
0.9338 0.0964 0.8600 Sn
0.3600 0.9262 0.7636 Sn
0.3374 0.7636 0.4036 Sn
0.5662 0.6400 0.4036 Sn
0.3374 0.5738 0.4338 Sn
0.1400 0.7364 0.5738 Sn
0.8600 0.2636 0.4262 Sn
0.6626 0.4262 0.5662 Sn
0.5662 0.9262 0.6626 Sn
0.0662 0.1626 0.4262 Sn
0.0738 0.6400 0.7364 Sn
0.3600 0.4338 0.0964 Sn
0.5964 0.7364 0.6626 Sn
0.1400 0.4036 0.0662 Sn
0.4036 0.1400 0.5662 Sn
0.8374 0.9036 0.2636 Sn
0.6400 0.0738 0.2364 Sn
0.9262 0.3600 0.2636 Sn
0.6400 0.5662 0.9036 Sn
0.9036 0.0662 0.6400 Sn
0.4262 0.6626 0.0662 Sn
0.0662 0.9036 0.1400 Sn
0.0964 0.9338 0.3600 Sn
0.8374 0.9338 0.0738 Sn
0.0738 0.4338 0.8374 Sn
0.2636 0.4036 0.8374 Sn
0.4262 0.7636 0.8600 Sn
0.2364 0.5738 0.6400 Sn
0.0964 0.1626 0.2364 Sn
0.9036 0.8374 0.7636 Sn
0.8600 0.5964 0.9338 Sn
0.3750 0.6250 0.2500 Ge
0.8750 0.7500 0.1250 Ge
0.1250 0.8750 0.7500 Ge
0.7500 0.3750 0.1250 Ge
0.6250 0.2500 0.3750 Ge
0.2500 0.6250 0.8750 Ge
0.1250 0.2500 0.8750 Ge
0.6250 0.3750 0.7500 Ge
0.8750 0.1250 0.2500 Ge
0.3750 0.7500 0.6250 Ge
0.7500 0.8750 0.6250 Ge
0.2500 0.1250 0.3750 Ge
0.2500 0.8750 0.1250 In
0.0000 0.5000 0.5000 In
0.0000 0.0000 0.5000 In
0.8750 0.6250 0.7500 In
0.1250 0.7500 0.3750 In
0.6250 0.7500 0.8750 In
0.5000 0.0000 0.5000 In
0.5000 0.0000 0.0000 In
0.5000 0.5000 0.0000 In
0.5000 0.5000 0.5000 In
0.7500 0.6250 0.3750 In
0.1250 0.3750 0.2500 In
0.0000 0.5000 0.0000 In
0.3750 0.1250 0.7500 In
0.0000 0.0000 0.0000 In
0.7500 0.1250 0.8750 In
0.8750 0.2500 0.6250 In
0.6250 0.8750 0.2500 In
0.2500 0.3750 0.6250 In
0.3750 0.2500 0.1250 In

Record 7
Lu5Mn3H12 (PBE, optimized geometry); N(E_F) = 42.9 states/eV per cell; total energy = -383.608 eV for the cell shown; magnetic moment = 8.6 μB per formula unit; SG = No. 230
1.0
-7.3202 -7.1917 0.9726
4.8896 1.1649 8.9992
-4.3174 8.9476 -2.7480
H Lu Mn
48 20 12
direct
0.5478 0.9020 0.8182 H
0.0980 0.4522 0.6818 H
0.7296 0.0478 0.6458 H
0.9020 0.3542 0.0838 H
0.5980 0.4162 0.1458 H
0.8182 0.4020 0.5478 H
0.0838 0.2296 0.6818 H
0.2296 0.0838 0.1818 H
0.3182 0.0478 0.9020 H
0.0838 0.8542 0.9020 H
0.5478 0.6458 0.2296 H
0.0478 0.3182 0.4020 H
0.9522 0.2704 0.8542 H
0.9522 0.6818 0.5980 H
0.4162 0.5980 0.6458 H
0.6458 0.5478 0.7296 H
0.9020 0.5478 0.3182 H
0.4522 0.0980 0.1818 H
0.1458 0.9162 0.5980 H
0.2704 0.3182 0.4162 H
0.6458 0.0980 0.4162 H
0.6818 0.7296 0.0838 H
0.4162 0.8182 0.2704 H
0.5838 0.4020 0.3542 H
0.1818 0.5980 0.4522 H
0.2296 0.1458 0.5478 H
0.8542 0.0838 0.4020 H
0.7704 0.9162 0.8182 H
0.7704 0.8542 0.4522 H
0.8182 0.4162 0.7704 H
0.0478 0.7296 0.1458 H
0.1458 0.2296 0.0478 H
0.7296 0.6818 0.5838 H
0.6818 0.9522 0.0980 H
0.4522 0.3542 0.7704 H
0.0980 0.6458 0.9162 H
0.1818 0.5838 0.2296 H
0.9162 0.1458 0.0980 H
0.8542 0.7704 0.9522 H
0.5838 0.1818 0.7296 H
0.3182 0.2704 0.9162 H
0.4020 0.8182 0.0478 H
0.2704 0.9522 0.3542 H
0.4020 0.5838 0.8542 H
0.9162 0.7704 0.3182 H
0.5980 0.1818 0.9522 H
0.3542 0.4522 0.2704 H
0.3542 0.9020 0.5838 H
0.2500 0.3750 0.6250 Lu
0.2500 0.8750 0.1250 Lu
0.8750 0.6250 0.7500 Lu
0.1250 0.3750 0.2500 Lu
0.0000 0.0000 0.0000 Lu
0.7500 0.6250 0.3750 Lu
0.6250 0.7500 0.8750 Lu
0.0000 0.5000 0.0000 Lu
0.3750 0.1250 0.7500 Lu
0.8750 0.2500 0.6250 Lu
0.7500 0.1250 0.8750 Lu
0.1250 0.7500 0.3750 Lu
0.5000 0.0000 0.5000 Lu
0.5000 0.0000 0.0000 Lu
0.5000 0.5000 0.5000 Lu
0.0000 0.0000 0.5000 Lu
0.3750 0.2500 0.1250 Lu
0.6250 0.8750 0.2500 Lu
0.5000 0.5000 0.0000 Lu
0.0000 0.5000 0.5000 Lu
0.7500 0.3750 0.1250 Mn
0.3750 0.6250 0.2500 Mn
0.2500 0.1250 0.3750 Mn
0.6250 0.3750 0.7500 Mn
0.1250 0.8750 0.7500 Mn
0.7500 0.8750 0.6250 Mn
0.2500 0.6250 0.8750 Mn
0.8750 0.1250 0.2500 Mn
0.8750 0.7500 0.1250 Mn
0.3750 0.7500 0.6250 Mn
0.6250 0.2500 0.3750 Mn
0.1250 0.2500 0.8750 Mn

Record 8
ScAlTl2 (PBE, optimized geometry); N(E_F) = 3.6 states/eV per cell; total energy = -28.876 eV for the cell shown; magnetic moment = 0.0 μB per formula unit; SG = No. 122; ΔE_f = 0.092 eV/atom
1.0
-3.1767 -2.9384 -6.6854
-0.3577 -7.2192 3.3430
-4.6075 -4.4426 -0.6012
Tl Sc Al
4 2 2
direct
0.8750 0.8508 0.7500 Tl
0.6008 0.1250 0.2500 Tl
0.3750 0.3992 0.7500 Tl
0.1492 0.6250 0.2500 Tl
0.0000 0.0000 0.0000 Sc
0.7500 0.2500 0.5000 Sc
0.5000 0.5000 0.0000 Al
0.2500 0.7500 0.5000 Al

Record 9
CeHS (PBE, optimized geometry); N(E_F) = 11.0 states/eV per cell; total energy = -35.692 eV for the cell shown; magnetic moment = 1.0 μB per formula unit; SG = No. 194
1.0
-1.6687 -1.0689 -3.3918
0.0205 -2.4800 3.0464
-6.4960 2.7915 2.3162
H Ce S
2 2 2
direct
0.6666 0.8334 0.7500 H
0.3334 0.1666 0.2500 H
0.3333 0.1667 0.7500 Ce
0.6667 0.8333 0.2500 Ce
0.0000 0.5000 0.0000 S
0.0000 0.5000 0.5000 S

Record 10
Pm8TlGe2 (PBE, optimized geometry); N(E_F) = 12.7 states/eV per cell; total energy = -53.078 eV for the cell shown; magnetic moment = 0.0 μB per formula unit; SG = No. 12; ΔE_f = -0.316 eV/atom
1.0
5.7131 -0.1380 -0.2071
-1.1292 8.1596 -0.2898
-1.1292 -3.4101 7.4186
Pm Ge Tl
8 2 1
direct
0.9215 0.6812 0.9241 Pm
0.7018 0.4048 0.4048 Pm
0.0785 0.0759 0.3188 Pm
0.5000 0.7570 0.2430 Pm
0.9215 0.9241 0.6812 Pm
0.2982 0.5952 0.5952 Pm
0.0785 0.3188 0.0759 Pm
0.5000 0.2430 0.7570 Pm
0.0000 0.3076 0.6924 Ge
0.0000 0.6924 0.3076 Ge
0.5000 0.0000 0.0000 Tl

Record 11
ZnFeAs2Br (PBE, optimized geometry); N(E_F) = 4.3 states/eV per cell; total energy = -18.864 eV for the cell shown; magnetic moment = 0.7 μB per formula unit; formation energy without anion corrections = 0.37 eV/atom; SG = No. 123
1.0
4.4849 0.0000 0.0000
0.0000 4.4849 0.0000
0.0000 0.0000 5.4338
Br Fe As Zn
1 1 2 1
direct
0.0000 0.0000 0.5000 Br
0.0000 0.0000 0.0000 Fe
0.0000 0.5000 0.0000 As
0.5000 0.0000 0.0000 As
0.5000 0.5000 0.5000 Zn

Record 12
La2ZnNi (PBE, optimized geometry); N(E_F) = 3.0 states/eV per cell; total energy = -17.624 eV for the cell shown; magnetic moment = 0.0 μB per formula unit; SG = No. 166; ΔE_f = -0.178 eV/atom
1.0
8.3323 0.0428 0.0257
7.3571 3.9118 0.0257
7.3571 1.8544 3.4444
Ni La Zn
1 2 1
direct
0.2500 0.2500 0.2500 Ni
0.5129 0.5129 0.5129 La
0.9871 0.9871 0.9871 La
0.7500 0.7500 0.7500 Zn